Record 1
Entry from the Alexandria database: a geometry-optimized Dy2Ho2Te3 structure (PBE).

```
Dy2Ho2Te3
1.0
7.101 -2.066 0.000
7.101 2.066 0.000
-1.469 0.000 7.182
Dy Ho Te
2 2 3
Direct
0.115 0.115 0.322
0.885 0.885 0.678
0.389 0.389 0.098
0.611 0.611 0.902
0.232 0.232 0.739
0.500 0.500 0.500
0.768 0.768 0.261
```

Computed properties:
Calculated density: 8.17 g cm⁻³
Magnetic moment: 0.0 Bohr magnetons per cell
ΔE_f (raw): -1028.1 meV per atom
D(E_F): 4.98 states/eV/f.u.
Symmetry: C2/m

---

Record 2
Entry from the Alexandria database: a geometry-optimized Dy5HoTe6 structure (PBE).

```
Dy5HoTe6
1.0
3.762 -6.545 0.000
3.762 6.545 0.000
-2.527 0.000 7.083
Dy Ho Te
5 1 6
Direct
0.000 0.000 0.000
0.167 0.833 0.500
0.332 0.668 0.000
0.668 0.332 0.000
0.833 0.167 0.500
0.500 0.500 0.500
0.085 0.417 0.251
0.251 0.251 0.750
0.417 0.085 0.251
0.583 0.915 0.749
0.749 0.749 0.250
0.915 0.583 0.749
```

Computed properties:
Calculated density: 8.30 g cm⁻³
Magnetic moment: 0.0 Bohr magnetons per cell
ΔE_f (raw): -1273.6 meV per atom
D(E_F): 5.75 states/eV/f.u.
Symmetry: C2/m

---

Record 3
Entry from the Alexandria database: a geometry-optimized Dy4Ho3Te8 structure (PBE).

```
Dy4Ho3Te8
1.0
6.120 -6.120 0.000
6.120 6.120 0.000
-6.119 0.000 6.121
Dy Ho Te
4 3 8
Direct
0.000 0.000 0.000
0.000 0.000 0.500
0.000 0.500 0.000
0.500 0.000 0.000
0.000 0.500 0.500
0.500 0.000 0.500
0.500 0.500 0.000
0.251 0.749 0.000
0.256 0.744 0.500
0.257 0.257 0.012
0.257 0.257 0.501
0.743 0.743 0.499
0.743 0.743 0.988
0.744 0.256 0.500
0.749 0.251 0.000
```

Computed properties:
Calculated density: 7.84 g cm⁻³
Magnetic moment: 0.0 Bohr magnetons per cell
ΔE_f (raw): -1350.4 meV per atom
D(E_F): 6.71 states/eV/f.u.
Symmetry: C2/m

---

Record 4
Entry from the Alexandria database: a geometry-optimized DyHo2Te structure (PBE).

```
DyHo2Te
1.0
3.844 0.000 0.000
0.000 3.844 0.000
0.000 0.000 7.871
Dy Ho Te
1 2 1
Direct
0.000 0.000 0.000
0.500 0.500 0.274
0.500 0.500 0.726
0.000 0.000 0.500
```

Computed properties:
Calculated density: 8.85 g cm⁻³
Magnetic moment: 0.0 Bohr magnetons per cell
ΔE_f (raw): -544.7 meV per atom
D(E_F): 4.69 states/eV/f.u.
Symmetry: P4/mmm
Distance to the lowest polymorph of the same formula: 0.098 eV/atom

---

Record 5
Entry from the Alexandria database: a geometry-optimized DyHo4Te5 structure (PBE).

```
DyHo4Te5
1.0
-2.150 2.150 15.661
2.150 -2.150 15.661
2.150 2.150 -15.661
Dy Ho Te
1 4 5
Direct
0.000 0.000 0.000
0.210 0.210 0.000
0.406 0.406 0.000
0.594 0.594 0.000
0.790 0.790 0.000
0.103 0.103 0.000
0.307 0.307 0.000
0.500 0.500 0.000
0.693 0.693 0.000
0.897 0.897 0.000
```

Computed properties:
Calculated density: 8.38 g cm⁻³
Magnetic moment: 0.0 Bohr magnetons per cell
ΔE_f (raw): -1252.7 meV per atom
D(E_F): 5.36 states/eV/f.u.
Symmetry: I4/mmm
Distance to the lowest polymorph of the same formula: 0.000 eV/atom

---

Record 6
Entry from the Alexandria database: a geometry-optimized Dy2HoTe5 structure (PBE).

```
Dy2HoTe5
1.0
-4.034 4.034 7.172
4.034 -4.034 7.172
4.034 4.034 -7.172
Dy Ho Te
4 2 10
Direct
0.150 0.650 0.801
0.350 0.150 0.500
0.650 0.850 0.500
0.850 0.350 0.199
0.250 0.250 0.000
0.750 0.750 0.000
0.000 0.000 0.000
0.011 0.190 0.500
0.190 0.690 0.179
0.310 0.489 0.500
0.489 0.989 0.179
0.500 0.500 0.000
0.511 0.011 0.821
0.690 0.511 0.500
0.810 0.310 0.821
0.989 0.810 0.500
```

Computed properties:
Calculated density: 8.02 g cm⁻³
Magnetic moment: 0.0 Bohr magnetons per cell
ΔE_f (raw): -1128.5 meV per atom
D(E_F): 5.62 states/eV/f.u.
Symmetry: I4/mcm

---

Record 7
Entry from the Alexandria database: a geometry-optimized DyHo3Te6 structure (PBE).

```
DyHo3Te6
1.0
12.432 0.000 0.000
0.000 4.333 0.000
-4.236 0.000 12.032
Dy Ho Te
2 6 12
Direct
0.044 0.250 0.194
0.956 0.750 0.806
0.156 0.250 0.580
0.316 0.750 0.998
0.431 0.250 0.334
0.569 0.750 0.666
0.684 0.250 0.002
0.844 0.750 0.420
0.084 0.750 0.399
0.111 0.250 0.967
0.191 0.750 0.750
0.252 0.750 0.220
0.393 0.250 0.562
0.483 0.250 0.118
0.517 0.750 0.882
0.607 0.750 0.438
0.748 0.250 0.780
0.809 0.250 0.250
0.889 0.750 0.033
0.916 0.250 0.601
```

Computed properties:
Calculated density: 7.29 g cm⁻³
Magnetic moment: 0.0 Bohr magnetons per cell
ΔE_f (raw): -1361.3 meV per atom
Symmetry: P2_1/m
Distance to the lowest polymorph of the same formula: 0.000 eV/atom

---

Record 8
Entry from the Alexandria database: a geometry-optimized DyHo3Te6 structure (PBE).

```
DyHo3Te6
1.0
6.386 3.687 5.144
-6.386 3.687 5.144
0.000 -7.374 5.144
Dy Ho Te
2 6 12
Direct
0.000 0.000 0.000
0.500 0.500 0.500
0.075 0.743 0.582
0.257 0.418 0.925
0.418 0.925 0.257
0.582 0.075 0.743
0.743 0.582 0.075
0.925 0.257 0.418
0.038 0.678 0.909
0.091 0.962 0.322
0.184 0.409 0.588
0.322 0.091 0.962
0.409 0.588 0.184
0.412 0.816 0.591
0.588 0.184 0.409
0.591 0.412 0.816
0.678 0.909 0.038
0.816 0.591 0.412
0.909 0.038 0.678
0.962 0.322 0.091
```

Computed properties:
Calculated density: 6.50 g cm⁻³
Magnetic moment: 0.0 Bohr magnetons per cell
ΔE_f (raw): -1320.2 meV per atom
D(E_F): 0.00 states/eV/f.u.
Symmetry: R-3
Distance to the lowest polymorph of the same formula: 0.041 eV/atom

---

Record 9
Entry from the Alexandria database: a geometry-optimized Dy2Ho5Te4 structure (PBE).

```
Dy2Ho5Te4
1.0
12.644 -2.012 0.000
12.644 2.012 0.000
-0.220 0.000 7.259
Dy Ho Te
2 5 4
Direct
0.234 0.234 0.307
0.766 0.766 0.693
0.000 0.000 0.500
0.340 0.340 0.005
0.362 0.362 0.493
0.638 0.638 0.507
0.660 0.660 0.995
0.096 0.096 0.226
0.451 0.451 0.232
0.549 0.549 0.768
0.904 0.904 0.774
```

Computed properties:
Calculated density: 7.46 g cm⁻³
Magnetic moment: 0.7 Bohr magnetons per cell
ΔE_f (raw): -630.0 meV per atom
D(E_F): 10.19 states/eV/f.u.
Symmetry: C2/m

---

Record 10
Entry from the Alexandria database: a geometry-optimized DyHo4Te2 structure (PBE).

```
DyHo4Te2
1.0
2.701 1.560 8.829
-2.701 1.560 8.829
0.000 -3.119 8.829
Dy Ho Te
1 4 2
Direct
0.000 0.000 0.000
0.235 0.235 0.235
0.366 0.366 0.366
0.634 0.634 0.634
0.765 0.765 0.765
0.117 0.117 0.117
0.883 0.883 0.883
```

Computed properties:
Calculated density: 8.02 g cm⁻³
Magnetic moment: 0.0 Bohr magnetons per cell
ΔE_f (raw): -489.9 meV per atom
D(E_F): 5.64 states/eV/f.u.
Symmetry: R-3m

---

Record 11
Entry from the Alexandria database: a geometry-optimized DyHo2Te2 structure (PBE).

```
DyHo2Te2
1.0
-2.117 2.117 8.394
2.117 -2.117 8.394
2.117 2.117 -8.394
Dy Ho Te
1 2 2
Direct
0.000 0.000 0.000
0.375 0.375 0.000
0.625 0.625 0.000
0.180 0.180 0.000
0.820 0.820 0.000
```

Computed properties:
Calculated density: 8.25 g cm⁻³
Magnetic moment: 0.0 Bohr magnetons per cell
ΔE_f (raw): -943.8 meV per atom
D(E_F): 4.38 states/eV/f.u.
Symmetry: I4/mmm

---

Record 12
Entry from the Alexandria database: a geometry-optimized Dy3Ho4Te4 structure (PBE).

```
Dy3Ho4Te4
1.0
-1.942 4.583 8.744
1.942 -4.583 8.744
1.942 4.583 -8.744
Dy Ho Te
3 4 4
Direct
0.000 0.000 0.000
0.398 0.898 0.500
0.602 0.102 0.500
0.020 0.334 0.685
0.351 0.666 0.685
0.649 0.334 0.315
0.980 0.666 0.315
0.262 0.262 0.000
0.300 0.500 0.800
0.700 0.500 0.200
0.738 0.738 0.000
```

Computed properties:
Calculated density: 8.84 g cm⁻³
Magnetic moment: 0.0 Bohr magnetons per cell
ΔE_f (raw): -884.4 meV per atom
D(E_F): 12.24 states/eV/f.u.
Symmetry: Immm

---

Record 13
Entry from the Alexandria database: a geometry-optimized Dy5Ho4Te2 structure (PBE).

```
Dy5Ho4Te2
1.0
5.539 -1.839 0.000
5.539 1.839 0.000
-5.200 0.000 17.279
Dy Ho Te
5 4 2
Direct
0.000 0.000 0.000
0.118 0.118 0.451
0.302 0.302 0.849
0.698 0.698 0.151
0.882 0.882 0.549
0.025 0.025 0.250
0.208 0.208 0.650
0.792 0.792 0.350
0.975 0.975 0.750
0.393 0.393 0.106
0.607 0.607 0.894
```

Computed properties:
Calculated density: 8.15 g cm⁻³
Magnetic moment: 0.0 Bohr magnetons per cell
ΔE_f (raw): -255.9 meV per atom
D(E_F): 14.29 states/eV/f.u.
Symmetry: C2/m

---

Record 14
Entry from the Alexandria database: a geometry-optimized DyHoTe structure (PBE).

```
DyHoTe
1.0
5.142 0.000 0.000
-2.571 4.453 0.000
0.000 0.000 3.963
Dy Ho Te
1 1 1
Direct
0.000 0.000 0.000
0.667 0.333 0.492
0.333 0.667 0.254
```

Computed properties:
Calculated density: 8.33 g cm⁻³
Magnetic moment: 0.0 Bohr magnetons per cell
ΔE_f (raw): -469.9 meV per atom
D(E_F): 2.06 states/eV/f.u.
Symmetry: P3m1
Distance to the lowest polymorph of the same formula: 0.373 eV/atom

---

Record 15
Entry from the Alexandria database: a geometry-optimized Dy2Ho2Te5 structure (PBE).

```
Dy2Ho2Te5
1.0
9.165 -3.023 0.000
9.165 3.023 0.000
-0.008 0.000 6.119
Dy Ho Te
2 2 5
Direct
0.184 0.184 0.000
0.816 0.816 0.000
0.343 0.343 0.500
0.657 0.657 0.500
0.168 0.168 0.500
0.349 0.349 0.000
0.500 0.500 0.500
0.651 0.651 0.000
0.832 0.832 0.500
```

Computed properties:
Calculated density: 6.33 g cm⁻³
Magnetic moment: 0.0 Bohr magnetons per cell
ΔE_f (raw): -1190.0 meV per atom
D(E_F): 3.39 states/eV/f.u.
Symmetry: C2/m

---

Record 16
Entry from the Alexandria database: a geometry-optimized DyHo3Te2 structure (PBE).

```
DyHo3Te2
1.0
9.081 -1.955 0.000
9.081 1.955 0.000
-4.101 0.000 9.765
Dy Ho Te
2 6 4
Direct
0.109 0.109 0.097
0.891 0.891 0.903
0.049 0.049 0.655
0.311 0.311 0.126
0.366 0.366 0.535
0.634 0.634 0.465
0.689 0.689 0.874
0.951 0.951 0.345
0.254 0.254 0.699
0.492 0.492 0.156
0.508 0.508 0.844
0.746 0.746 0.301
```

Computed properties:
Calculated density: 8.74 g cm⁻³
Magnetic moment: 0.0 Bohr magnetons per cell
ΔE_f (raw): -761.8 meV per atom
D(E_F): 7.00 states/eV/f.u.
Symmetry: C2/m

---

Record 17
Entry from the Alexandria database: a geometry-optimized Dy2Ho3ThTe6 structure (PBE).

```
Dy2Ho3ThTe6
1.0
9.658 -2.154 0.000
9.658 2.154 0.000
-2.422 0.000 8.505
Dy Ho Th Te
2 3 1 6
Direct
0.158 0.158 0.314
0.842 0.842 0.686
0.161 0.161 0.824
0.500 0.500 0.500
0.839 0.839 0.176
0.500 0.500 0.000
0.001 0.001 0.739
0.327 0.327 0.924
0.330 0.330 0.423
0.670 0.670 0.577
0.673 0.673 0.076
0.999 0.999 0.261
```

Computed properties:
Calculated density: 8.53 g cm⁻³
Magnetic moment: 0.0 Bohr magnetons per cell
ΔE_f (raw): -1211.2 meV per atom
D(E_F): 7.26 states/eV/f.u.
Symmetry: C2/m

---

Record 18
Entry from the Alexandria database: a geometry-optimized Dy3Ho2ThTe6 structure (PBE).

```
Dy3Ho2ThTe6
1.0
9.407 -2.129 0.000
9.407 2.129 0.000
-1.443 0.000 8.852
Dy Ho Th Te
3 2 1 6
Direct
0.000 0.000 0.000
0.347 0.347 0.650
0.653 0.653 0.350
0.334 0.334 0.154
0.666 0.666 0.846
0.000 0.000 0.500
0.167 0.167 0.098
0.176 0.176 0.604
0.494 0.494 0.237
0.506 0.506 0.763
0.824 0.824 0.396
0.833 0.833 0.902
```

Computed properties:
Calculated density: 8.50 g cm⁻³
Magnetic moment: 0.0 Bohr magnetons per cell
ΔE_f (raw): -1214.2 meV per atom
D(E_F): 8.42 states/eV/f.u.
Symmetry: C2/m

---

Record 19
Entry from the Alexandria database: a geometry-optimized Dy2HoTl3Te6 structure (PBE).

```
Dy2HoTl3Te6
1.0
3.849 -6.666 0.000
3.849 6.666 0.000
-2.566 0.000 8.189
Dy Ho Tl Te
2 1 3 6
Direct
0.167 0.833 0.000
0.833 0.167 0.000
0.500 0.500 0.000
0.000 0.000 0.500
0.333 0.667 0.500
0.667 0.333 0.500
0.097 0.429 0.787
0.239 0.239 0.213
0.429 0.097 0.787
0.571 0.903 0.213
0.761 0.761 0.787
0.903 0.571 0.213
```

Computed properties:
Calculated density: 7.38 g cm⁻³
Magnetic moment: 0.0 Bohr magnetons per cell
ΔE_f (raw): -1051.2 meV per atom
Symmetry: C2/m

---

Record 20
Entry from the Alexandria database: a geometry-optimized Dy3HoTl3Te8 structure (PBE).

```
Dy3HoTl3Te8
1.0
7.611 -4.386 0.000
7.611 4.386 0.000
-5.081 0.000 8.190
Dy Ho Tl Te
3 1 3 8
Direct
0.000 0.000 0.000
0.000 0.500 0.000
0.500 0.000 0.000
0.500 0.500 0.000
0.000 0.500 0.500
0.500 0.000 0.500
0.500 0.500 0.500
0.238 0.739 0.215
0.239 0.239 0.216
0.261 0.261 0.785
0.261 0.762 0.785
0.739 0.238 0.215
0.739 0.739 0.215
0.761 0.761 0.784
0.762 0.261 0.785
```

Computed properties:
Calculated density: 6.94 g cm⁻³
Magnetic moment: 0.0 Bohr magnetons per cell
ΔE_f (raw): -1051.8 meV per atom
D(E_F): 5.79 states/eV/f.u.
Symmetry: C2/m